# Ag7S2Cl3, optimized geometry, DFT PBE-GGA
# Density: 5.78 g/cm3
# Size of the total moment: 0.00 μB/f.u.
# Energy relative to the elements, uncorrected: -1.72 eV/f.u.
# Uncorrected energy: -2.956 eV per atom
data_Ag7S2Cl3
_space_group_name_H-M_alt 'C 1 2/m 1'
_space_group_IT_number 12
_space_group_name_Hall '-C 2y'
_cell_length_a 5.059
_cell_length_b 22.972
_cell_length_c 4.573
_cell_angle_alpha 90.00
_cell_angle_beta 90.11
_cell_angle_gamma 90.00
loop_
_atom_site_label
_atom_site_type_symbol
_atom_site_fract_x
_atom_site_fract_y
_atom_site_fract_z
_atom_site_occupancy
Ag1 Ag 0.000 0.000 0.000 1
Ag2 Ag 0.000 0.140 0.500 1
Ag3 Ag 0.000 0.223 0.000 1
Ag4 Ag 0.000 0.424 0.000 1
S1 S 0.000 0.107 0.000 1
Cl1 Cl 0.000 0.297 0.500 1
Cl2 Cl 0.000 0.500 0.500 1

# Ag2S2Cl, optimized geometry, DFT PBE-GGA
# Density: 4.66 g/cm3
# Size of the total moment: 0.00 μB/f.u.
# Energy relative to the elements, uncorrected: -0.81 eV/f.u.
# Uncorrected energy: -3.323 eV per atom
data_Ag2S2Cl
_space_group_name_H-M_alt 'P -1'
_space_group_IT_number 2
_space_group_name_Hall '-P 1'
_cell_length_a 4.223
_cell_length_b 6.864
_cell_length_c 8.019
_cell_angle_alpha 103.13
_cell_angle_beta 94.46
_cell_angle_gamma 93.84
loop_
_atom_site_label
_atom_site_type_symbol
_atom_site_fract_x
_atom_site_fract_y
_atom_site_fract_z
_atom_site_occupancy
Ag1 Ag 0.182 0.023 0.241 1
Ag2 Ag 0.317 0.478 0.759 1
S1 S 0.218 0.717 0.370 1
S2 S 0.283 0.783 0.630 1
Cl1 Cl 0.250 0.250 0.000 1

# AgS2Cl2, optimized geometry, DFT PBE-GGA
# Density: 3.37 g/cm3
# Relative energy among the computed polymorphs: 0.059 eV per atom
# Size of the total moment: 0.00 μB/f.u.
# Energy relative to the elements, uncorrected: 1.24 eV/f.u.
# Uncorrected energy: -2.712 eV per atom
data_AgS2Cl2
_space_group_name_H-M_alt 'I 4/m m m'
_space_group_IT_number 139
_space_group_name_Hall '-I 4 2'
_cell_length_a 5.570
_cell_length_b 5.570
_cell_length_c 7.720
_cell_angle_alpha 90.00
_cell_angle_beta 90.00
_cell_angle_gamma 90.00
loop_
_atom_site_label
_atom_site_type_symbol
_atom_site_fract_x
_atom_site_fract_y
_atom_site_fract_z
_atom_site_occupancy
Ag1 Ag 0.000 0.000 0.000 1
S1 S 0.000 0.000 0.380 1
Cl1 Cl 0.000 0.500 0.250 1

# Ag4SCl2, optimized geometry, DFT PBE-GGA
# Density: 4.80 g/cm3
# Relative energy among the computed polymorphs: 0.000 eV per atom
# Size of the total moment: 0.00 μB/f.u.
# Energy relative to the elements, uncorrected: -1.73 eV/f.u.
# Uncorrected energy: -2.994 eV per atom
data_Ag4SCl2
_space_group_name_H-M_alt 'P 1 21/m 1'
_space_group_IT_number 11
_space_group_name_Hall '-P 2yb'
_cell_length_a 5.921
_cell_length_b 6.798
_cell_length_c 9.566
_cell_angle_alpha 90.00
_cell_angle_beta 106.09
_cell_angle_gamma 90.00
loop_
_atom_site_label
_atom_site_type_symbol
_atom_site_fract_x
_atom_site_fract_y
_atom_site_fract_z
_atom_site_occupancy
Ag1 Ag 0.024 0.250 0.144 1
Ag2 Ag 0.166 0.510 0.400 1
Ag3 Ag 0.469 0.750 0.855 1
S1 S 0.134 0.750 0.647 1
Cl1 Cl 0.187 0.250 0.938 1
Cl2 Cl 0.463 0.750 0.367 1

# AgS2Cl, optimized geometry, DFT PBE-GGA
# Density: 3.62 g/cm3
# Relative energy among the computed polymorphs: 0.844 eV per atom
# Size of the total moment: 0.00 μB/f.u.
# Energy relative to the elements, uncorrected: 2.65 eV/f.u.
# Uncorrected energy: -2.577 eV per atom
data_AgS2Cl
_space_group_name_H-M_alt 'I -4 2 d'
_space_group_IT_number 122
_space_group_name_Hall 'I -4 2bw'
_cell_length_a 5.226
_cell_length_b 5.226
_cell_length_c 13.928
_cell_angle_alpha 90.00
_cell_angle_beta 90.00
_cell_angle_gamma 90.00
loop_
_atom_site_label
_atom_site_type_symbol
_atom_site_fract_x
_atom_site_fract_y
_atom_site_fract_z
_atom_site_occupancy
Ag1 Ag 0.000 0.000 0.000 1
S1 S 0.249 0.250 0.625 1
Cl1 Cl 0.000 0.000 0.500 1

# AgS2Cl, optimized geometry, DFT PBE-GGA
# Density: 3.70 g/cm3
# Relative energy among the computed polymorphs: 0.401 eV per atom
# Size of the total moment: 0.00 μB/f.u.
# Energy relative to the elements, uncorrected: 0.87 eV/f.u.
# Uncorrected energy: -3.020 eV per atom
data_AgS2Cl
_space_group_name_H-M_alt 'R -3 m'
_space_group_IT_number 166
_space_group_name_Hall '-R 3 2"'
_cell_length_a 3.8801
_cell_length_b 3.8801
_cell_length_c 21.4194
_cell_angle_alpha 90.00
_cell_angle_beta 90.00
_cell_angle_gamma 120.00
loop_
_atom_site_label
_atom_site_type_symbol
_atom_site_fract_x
_atom_site_fract_y
_atom_site_fract_z
_atom_site_occupancy
Ag1 Ag 0.0000 0.0000 0.0000 1
S1 S 0.0000 0.0000 0.3913 1
Cl1 Cl 0.0000 0.0000 0.5000 1

# Ag6S2Cl, optimized geometry, DFT PBE-GGA
# Density: 5.88 g/cm3
# Relative energy among the computed polymorphs: 0.017 eV per atom
# Size of the total moment: 0.00 μB/f.u.
# Energy relative to the elements, uncorrected: 0.31 eV/f.u.
# Uncorrected energy: -2.988 eV per atom
data_Ag6S2Cl
_space_group_name_H-M_alt 'C 1 2/m 1'
_space_group_IT_number 12
_space_group_name_Hall '-C 2y'
_cell_length_a 13.311
_cell_length_b 4.181
_cell_length_c 8.321
_cell_angle_alpha 90.00
_cell_angle_beta 114.49
_cell_angle_gamma 90.00
loop_
_atom_site_label
_atom_site_type_symbol
_atom_site_fract_x
_atom_site_fract_y
_atom_site_fract_z
_atom_site_occupancy
Ag1 Ag 0.054 0.000 0.365 1
Ag2 Ag 0.136 0.500 0.188 1
Ag3 Ag 0.211 0.500 0.585 1
S1 S 0.155 0.000 0.705 1
Cl1 Cl 0.000 0.000 0.000 1

# Ag5S2Cl, optimized geometry, DFT PBE-GGA
# Density: 5.87 g/cm3
# Size of the total moment: 0.00 μB/f.u.
# Energy relative to the elements, uncorrected: -0.49 eV/f.u.
# Uncorrected energy: -3.106 eV per atom
data_Ag5S2Cl
_space_group_name_H-M_alt 'C m c m'
_space_group_IT_number 63
_space_group_name_Hall '-C 2c 2'
_cell_length_a 4.538
_cell_length_b 13.115
_cell_length_c 12.156
_cell_angle_alpha 90.00
_cell_angle_beta 90.00
_cell_angle_gamma 90.00
loop_
_atom_site_label
_atom_site_type_symbol
_atom_site_fract_x
_atom_site_fract_y
_atom_site_fract_z
_atom_site_occupancy
Ag1 Ag 0.000 0.069 0.120 1
Ag2 Ag 0.000 0.236 0.750 1
Ag3 Ag 0.000 0.295 0.078 1
S1 S 0.000 0.127 0.579 1
Cl1 Cl 0.000 0.433 0.750 1